1.
A plane-wave DFT calculation with GGA-PBE was carried out for a geometry-optimized Mg5Cd2InGa structure.

Crystal system: tetragonal
Formation enthalpy at 0 K (eV/atom): 0.047
Symmetry: I4/mcm

Cell lengths 7.1232, 7.1232, 9.8611 Å; angles 111.17, 111.17, 90.00 degrees
Sites, in units of the cell vectors:
Mg: 0.9154 0.4154 0.2957
Mg: 0.6197 0.1197 0.7043
Mg: 0.0846 0.5846 0.7043
Mg: 0.1197 0.0846 0.7043
Mg: 0.5846 0.6197 0.7043
Mg: 0.8803 0.9154 0.2957
Mg: 0.4154 0.3803 0.2957
Mg: 0.3803 0.8803 0.2957
Mg: 0.5000 0.5000 0.0000
Mg: 0.0000 0.0000 0.0000
Cd: 0.1353 0.3647 0.0000
Cd: 0.6353 0.1353 0.0000
Cd: 0.3647 0.8647 0.0000
Cd: 0.8647 0.6353 0.0000
In: 0.2500 0.7500 0.5000
In: 0.7500 0.2500 0.5000
Ga: 0.2500 0.2500 0.5000
Ga: 0.7500 0.7500 0.5000

2.
A plane-wave DFT calculation with GGA-PBE was carried out for a geometry-optimized SmY2Zr3N6 structure.

Energy relative to the elements, uncorrected (eV per atom): -1.678
Crystal system: monoclinic
Symmetry: C2/m

Cell lengths 5.8196, 5.8196, 5.8889 Å; angles 99.51, 99.51, 119.93 degrees
Sites, in units of the cell vectors:
Sm: 0.0000 0.0000 0.0000
Y: 0.3332 0.6668 0.0000
Y: 0.6668 0.3332 0.0000
Zr: 0.1677 0.8323 0.5000
Zr: 0.8323 0.1677 0.5000
Zr: 0.5000 0.5000 0.5000
N: 0.9097 0.5710 0.7289
N: 0.7522 0.7522 0.2717
N: 0.0903 0.4290 0.2711
N: 0.5710 0.9097 0.7289
N: 0.2478 0.2478 0.7283
N: 0.4290 0.0903 0.2711

3.
A plane-wave DFT calculation with GGA-PBE was carried out for a geometry-optimized Cs2H3Se structure.

VASP energy (eV per atom): -2.79
Crystal system: monoclinic
Symmetry: C2/m

Cell lengths 7.3312, 7.3312, 8.8332 Å; angles 52.89, 52.89, 73.98 degrees
Each line ends with the local moment (μB).
Sites, in units of the cell vectors:
Cs: 0.7499 0.2500 0.7500  0.00
Cs: 0.2500 0.7501 0.7500  0.00
Cs: 0.2501 0.7500 0.2500  0.00
Cs: 0.7500 0.2499 0.2500  0.00
H: 0.8872 0.8871 0.6128  0.06
H: 0.6129 0.6128 0.8872  0.06
H: 0.1128 0.1129 0.3872  0.06
H: 0.3871 0.3872 0.1128  0.06
H: 0.7501 0.7499 0.7500  0.01
H: 0.2499 0.2501 0.2500  0.01
Se: 0.2500 0.2500 0.7500  0.14
Se: 0.7500 0.7500 0.2500  0.14

4.
A plane-wave DFT calculation with GGA-PBE was carried out for a geometry-optimized Ca2YHg6 structure.

Crystal system: hexagonal
Formation enthalpy at 0 K (eV/atom): -0.429
Symmetry: P6/mmm

Cell lengths 3.5133, 8.6358, 8.6358 Å; angles 120.00, 90.00, 90.00 degrees
Sites, in units of the cell vectors:
Ca: 0.0000 0.3333 0.6667
Ca: 0.0000 0.6667 0.3333
Y: 0.0000 0.0000 0.0000
Hg: 0.5000 0.3334 0.3334
Hg: 0.5000 0.6666 0.6666
Hg: 0.5000 0.0000 0.6666
Hg: 0.5000 0.6666 0.0000
Hg: 0.5000 0.3334 0.0000
Hg: 0.5000 0.0000 0.3334

5.
A plane-wave DFT calculation with GGA-PBE was carried out for a geometry-optimized CeSbO3 structure.

Energy relative to the elements, uncorrected (eV per atom): -2.065
Crystal system: cubic
Symmetry: Fd-3m

Cell lengths 7.7705, 7.7705, 7.7705 Å; angles 60.00, 60.00, 60.00 degrees
Each line ends with the local moment (μB).
Sites, in units of the cell vectors:
Ce: 0.1250 0.1250 0.6250  0.16
Ce: 0.1250 0.6250 0.1250  0.16
Ce: 0.1250 0.1250 0.1250  0.16
Ce: 0.6250 0.1250 0.1250  0.16
Sb: 0.6250 0.1250 0.6250  0.00
Sb: 0.1250 0.6250 0.6250  0.00
Sb: 0.6250 0.6250 0.1250  0.00
Sb: 0.6250 0.6250 0.6250  0.00
O: 0.0198 0.0198 0.4802  -0.01
O: 0.4802 0.0198 0.4802  -0.01
O: 0.4802 0.0198 0.0198  -0.01
O: 0.0198 0.4802 0.4802  -0.01
O: 0.2302 0.7698 0.2302  -0.01
O: 0.7698 0.7698 0.2302  -0.01
O: 0.4802 0.4802 0.0198  -0.01
O: 0.0198 0.4802 0.0198  -0.01
O: 0.7698 0.2302 0.2302  -0.01
O: 0.2302 0.7698 0.7698  -0.01
O: 0.2302 0.2302 0.7698  -0.01
O: 0.7698 0.2302 0.7698  -0.01

6.
A plane-wave DFT calculation with GGA-PBE was carried out for a geometry-optimized AgIrF2 structure.

Energy relative to the elements, uncorrected (eV per atom): -0.037
Crystal system: tetragonal
Symmetry: I-42d
Energy above the lowest structure with this stoichiometry (meV/atom): 151.0

Cell lengths 5.4928, 5.4928, 5.4928 Å; angles 103.88, 103.88, 121.34 degrees
Sites, in units of the cell vectors:
Ag: 0.5000 0.5000 0.0000
Ag: 0.7500 0.2500 0.5000
Ir: 0.0000 0.0000 0.0000
Ir: 0.2500 0.7500 0.5000
F: 0.9564 0.3750 0.0814
F: 0.2936 0.8750 0.9186
F: 0.1250 0.0436 0.4186
F: 0.6250 0.7064 0.5814

7.
A plane-wave DFT calculation with GGA-PBE was carried out for a geometry-optimized SrFe2Mo structure.

Crystal system: trigonal
Formation enthalpy at 0 K (eV/atom): 0.535
Symmetry: R3m
Energy above the lowest structure with this stoichiometry (meV/atom): 71.0

Cell lengths 4.0203, 4.0203, 6.3633 Å; angles 71.60, 71.60, 60.02 degrees
Each line ends with the local moment (μB).
Sites, in units of the cell vectors:
Fe: 0.0629 0.0629 0.8113  0.93
Fe: 0.7306 0.7306 0.8081  1.16
Mo: 0.4471 0.4471 0.6586  -0.20
Sr: 0.2593 0.2593 0.2220  -0.01

8.
A plane-wave DFT calculation with GGA-PBE was carried out for a geometry-optimized YTa4In structure.

Crystal system: cubic
Formation enthalpy at 0 K (eV/atom): 0.238
Symmetry: F-43m

Cell lengths 5.6568, 5.6568, 5.6568 Å; angles 60.00, 60.00, 60.00 degrees
Sites, in units of the cell vectors:
Y: 0.7500 0.7500 0.7500
Ta: 0.8684 0.3772 0.3772
Ta: 0.3772 0.3772 0.8684
Ta: 0.3772 0.8684 0.3772
Ta: 0.3772 0.3772 0.3772
In: 0.0000 0.0000 0.0000

Number 1: theoretical density 4.10 Mg/m³, density of states at the Fermi level 0.3880 states/eV per atom. Number 2: theoretical density 6.98 Mg/m³, density of states at the Fermi level 0.2572 states/eV per atom. Number 3: theoretical density 3.86 Mg/m³, density of states at the Fermi level 0.1992 states/eV per atom. Number 4: theoretical density 10.04 Mg/m³, density of states at the Fermi level 0.4547 states/eV per atom. Number 5: theoretical density 6.20 Mg/m³, density of states at the Fermi level 0.3381 states/eV per atom. Number 6: theoretical density 9.10 Mg/m³, density of states at the Fermi level 0.6225 states/eV per atom. Number 7: theoretical density 5.91 Mg/m³, density of states at the Fermi level 1.2274 states/eV per atom. Number 8: theoretical density 12.03 Mg/m³, density of states at the Fermi level 1.0763 states/eV per atom.